Version P
# YOs2Ru2 PBE-GGA optimized geometry
data_YOs2Ru2
_space_group_name_H-M_alt 'I 4/m m m'
_space_group_IT_number 139
_space_group_name_Hall '-I 4 2'
_cell_length_a 4.155
_cell_length_b 4.155
_cell_length_c 10.573
_cell_angle_alpha 90.00
_cell_angle_beta 90.00
_cell_angle_gamma 90.00
loop_
_atom_site_label
_atom_site_fract_x
_atom_site_fract_y
_atom_site_fract_z
_atom_site_occupancy
Y1 0.000 0.000 0.000 1
Os1 0.000 0.000 0.389 1
Ru1 0.000 0.500 0.250 1
# **M_tot**: 0.0 μB/f.u.
# **Calculated volume**: 18.3 Å³ per atom
# **Crystal system**: tetragonal
# **Calculated density**: 12.22 g/cm3

=====

Version Q
# YOs2Ru2 PBE-GGA optimized geometry
data_YOs2Ru2
_space_group_name_H-M_alt 'P 4/m b m'
_space_group_IT_number 127
_space_group_name_Hall '-P 4 2ab'
_cell_length_a 7.654
_cell_length_b 7.654
_cell_length_c 2.808
_cell_angle_alpha 90.00
_cell_angle_beta 90.00
_cell_angle_gamma 90.00
loop_
_atom_site_label
_atom_site_fract_x
_atom_site_fract_y
_atom_site_fract_z
_atom_site_occupancy
Y1 0.000 0.000 0.000 1
Os1 0.120 0.380 0.000 1
Ru1 0.173 0.673 0.500 1
# **M_tot**: 0.0 μB/f.u.
# **Calculated volume**: 16.5 Å³ per atom
# **Crystal system**: tetragonal
# **Calculated density**: 13.56 g/cm3

=====

Which is the most stable structure? version P is the most stable.

=====

Version P
# Y4OsRu PBE-GGA optimized geometry
data_Y4OsRu
_space_group_name_H-M_alt 'P 1 21/c 1'
_space_group_IT_number 14
_cell_length_a 6.834
_cell_length_b 6.836
_cell_length_c 6.832
_cell_angle_alpha 90.00
_cell_angle_beta 90.06
_cell_angle_gamma 90.00
loop_
_space_group_symop_operation_xyz
'x,y,z'
'-x,-y,-z'
'-x,y+1/2,-z+1/2'
'x,-y+1/2,z+1/2'
loop_
_atom_site_label
_atom_site_fract_x
_atom_site_fract_y
_atom_site_fract_z
_atom_site_occupancy
Y1 0.165 0.165 0.335 1
Y2 0.334 0.666 0.334 1
Os1 0.000 0.000 0.000 1
Ru1 0.500 0.000 0.500 1
# **M_tot**: 0.0 μB/f.u.
# **Calculated volume**: 26.6 Å³ per atom
# **Crystal system**: monoclinic
# **Calculated density**: 6.73 g/cm3

=====

Version Q
# Y4OsRu PBE-GGA optimized geometry
data_Y4OsRu
_space_group_name_H-M_alt 'F -4 3 m'
_space_group_IT_number 216
_space_group_name_Hall 'F -4 2 3'
_cell_length_a 8.237
_cell_length_b 8.237
_cell_length_c 8.237
_cell_angle_alpha 90.00
_cell_angle_beta 90.00
_cell_angle_gamma 90.00
loop_
_atom_site_label
_atom_site_fract_x
_atom_site_fract_y
_atom_site_fract_z
_atom_site_occupancy
Y1 0.125 0.125 0.125 1
Os1 0.250 0.250 0.750 1
Ru1 0.000 0.000 0.500 1
# **M_tot**: 0.3 μB/f.u.
# **Calculated volume**: 23.3 Å³ per atom
# **Crystal system**: cubic
# **Calculated density**: 7.69 g/cm3

=====

Version R
# Y4OsRu PBE-GGA optimized geometry
data_Y4OsRu
_space_group_name_H-M_alt 'C 1 2/c 1'
_space_group_IT_number 15
_cell_length_a 9.002
_cell_length_b 12.956
_cell_length_c 6.280
_cell_angle_alpha 90.00
_cell_angle_beta 123.93
_cell_angle_gamma 90.00
loop_
_space_group_symop_operation_xyz
'x,y,z'
'-x,-y,-z'
'-x,y,-z+1/2'
'x,-y,z+1/2'
'x+1/2,y+1/2,z'
'-x+1/2,-y+1/2,-z'
'-x+1/2,y+1/2,-z+1/2'
'x+1/2,-y+1/2,z+1/2'
loop_
_atom_site_label
_atom_site_fract_x
_atom_site_fract_y
_atom_site_fract_z
_atom_site_occupancy
Y1 0.128 0.177 0.095 1
Y2 0.194 0.438 0.263 1
Os1 0.000 0.001 0.250 1
Ru1 0.000 0.365 0.750 1
# **M_tot**: 0.0 μB/f.u.
# **Calculated volume**: 25.3 Å³ per atom
# **Crystal system**: monoclinic
# **Calculated density**: 7.07 g/cm3

=====

Which is the most stable structure? version R is the most stable.

=====

Version P
# ZnOsRu PBE-GGA optimized geometry
data_ZnOsRu
_space_group_name_H-M_alt 'F m m 2'
_space_group_IT_number 42
_space_group_name_Hall 'F 2 -2'
_cell_length_a 2.781
_cell_length_b 4.641
_cell_length_c 13.526
_cell_angle_alpha 90.00
_cell_angle_beta 90.00
_cell_angle_gamma 90.00
loop_
_atom_site_label
_atom_site_fract_x
_atom_site_fract_y
_atom_site_fract_z
_atom_site_occupancy
Zn1 0.000 0.000 0.000 1
Os1 0.000 0.000 0.330 1
Ru1 0.000 0.000 0.666 1
# **M_tot**: 1.0 μB/f.u.
# **Calculated volume**: 14.5 Å³ per atom
# **Crystal system**: orthorhombic
# **Calculated density**: 13.57 g/cm3

=====

Version Q
# ZnOsRu PBE-GGA optimized geometry
data_ZnOsRu
_space_group_name_H-M_alt 'P 4/n m m'
_space_group_IT_number 129
_cell_length_a 2.755
_cell_length_b 2.755
_cell_length_c 11.304
_cell_angle_alpha 90.00
_cell_angle_beta 90.00
_cell_angle_gamma 90.00
loop_
_space_group_symop_operation_xyz
'x,y,z'
'-x,-y,-z'
'-y+1/2,x,z'
'y+1/2,-x,-z'
'-x+1/2,-y+1/2,z'
'x+1/2,y+1/2,-z'
'y,-x+1/2,z'
'-y,x+1/2,-z'
'x+1/2,-y,-z'
'-x+1/2,y,z'
'-y,-x,-z'
'y,x,z'
'-x,y+1/2,-z'
'x,-y+1/2,z'
'y+1/2,x+1/2,-z'
'-y+1/2,-x+1/2,z'
loop_
_atom_site_label
_atom_site_fract_x
_atom_site_fract_y
_atom_site_fract_z
_atom_site_occupancy
Zn1 0.250 0.250 0.089 1
Os1 0.250 0.250 0.409 1
Ru1 0.250 0.250 0.745 1
# **M_tot**: 0.0 μB/f.u.
# **Calculated volume**: 14.3 Å³ per atom
# **Crystal system**: tetragonal
# **Calculated density**: 13.81 g/cm3

=====

Version R
# ZnOsRu PBE-GGA optimized geometry
data_ZnOsRu
_space_group_name_H-M_alt 'I 4 m m'
_space_group_IT_number 107
_space_group_name_Hall 'I 4 -2'
_cell_length_a 2.777
_cell_length_b 2.777
_cell_length_c 11.055
_cell_angle_alpha 90.00
_cell_angle_beta 90.00
_cell_angle_gamma 90.00
loop_
_atom_site_label
_atom_site_fract_x
_atom_site_fract_y
_atom_site_fract_z
_atom_site_occupancy
Zn1 0.000 0.000 0.000 1
Os1 0.000 0.000 0.326 1
Ru1 0.000 0.000 0.672 1
# **M_tot**: 0.0 μB/f.u.
# **Calculated volume**: 14.2 Å³ per atom
# **Crystal system**: tetragonal
# **Calculated density**: 13.90 g/cm3

=====

Which is the most stable structure? version Q is the most stable.

=====

Version P
# ZnOsRu PBE-GGA optimized geometry
data_ZnOsRu
_space_group_name_H-M_alt 'F -4 3 m'
_space_group_IT_number 216
_space_group_name_Hall 'F -4 2 3'
_cell_length_a 5.828
_cell_length_b 5.828
_cell_length_c 5.828
_cell_angle_alpha 90.00
_cell_angle_beta 90.00
_cell_angle_gamma 90.00
loop_
_atom_site_label
_atom_site_fract_x
_atom_site_fract_y
_atom_site_fract_z
_atom_site_occupancy
Zn1 0.000 0.000 0.000 1
Os1 0.000 0.000 0.500 1
Ru1 0.250 0.250 0.250 1
# **M_tot**: 0.0 μB/f.u.
# **Calculated volume**: 16.5 Å³ per atom
# **Crystal system**: cubic
# **Calculated density**: 11.97 g/cm3

=====

Version Q
# ZnOsRu PBE-GGA optimized geometry
data_ZnOsRu
_space_group_name_H-M_alt 'I m m 2'
_space_group_IT_number 44
_cell_length_a 2.777
_cell_length_b 3.768
_cell_length_c 8.036
_cell_angle_alpha 90.00
_cell_angle_beta 90.00
_cell_angle_gamma 90.00
loop_
_space_group_symop_operation_xyz
'x,y,z'
'-x,-y,z'
'-x,y,z'
'x,-y,z'
'x+1/2,y+1/2,z+1/2'
'-x+1/2,-y+1/2,z+1/2'
'-x+1/2,y+1/2,z+1/2'
'x+1/2,-y+1/2,z+1/2'
loop_
_atom_site_label
_atom_site_fract_x
_atom_site_fract_y
_atom_site_fract_z
_atom_site_occupancy
Zn1 0.000 0.000 0.000 1
Os1 0.000 0.000 0.671 1
Ru1 0.000 0.000 0.329 1
# **M_tot**: 0.0 μB/f.u.
# **Calculated volume**: 14.0 Å³ per atom
# **Crystal system**: orthorhombic
# **Calculated density**: 14.09 g/cm3

=====

Version R
# ZnOsRu PBE-GGA optimized geometry
data_ZnOsRu
_space_group_name_H-M_alt 'P 3 m 1'
_space_group_IT_number 156
_cell_length_a 2.7398
_cell_length_b 2.7398
_cell_length_c 6.5762
_cell_angle_alpha 90.00
_cell_angle_beta 90.00
_cell_angle_gamma 120.00
loop_
_space_group_symop_operation_xyz
'x,y,z'
'-y,x-y,z'
'-x+y,-x,z'
'-y,-x,z'
'-x+y,y,z'
'x,x-y,z'
loop_
_atom_site_label
_atom_site_fract_x
_atom_site_fract_y
_atom_site_fract_z
_atom_site_occupancy
Zn1 0.0000 0.0000 0.0000 1
Os1 0.6667 0.3333 0.3452 1
Ru1 0.3333 0.6667 0.6607 1
# **M_tot**: 0.0 μB/f.u.
# **Calculated volume**: 14.3 Å³ per atom
# **Crystal system**: trigonal
# **Calculated density**: 13.85 g/cm3

=====

Which is the most stable structure? version R is the most stable.